The following is a DFT calculation (PBE-GGA) of a relaxed structure of TiV2Pb.

Calculated values
Calculated formation energy = 778 meV/atom
DFT total energy = -6.6825 eV per atom

Structure (CIF):
```
data_TiV2Pb
_chemical_formula_sum 'Ti4 V8 Pb4'
_space_group_name_H-M_alt 'I -4 2 d'
_space_group_IT_number 122
_space_group_name_Hall 'I -4 2bw'
_cell_length_a 7.252
_cell_length_b 7.252
_cell_length_c 5.523
_cell_angle_alpha 90.00
_cell_angle_beta 90.00
_cell_angle_gamma 90.00
loop_
_atom_site_label
_atom_site_type_symbol
_atom_site_fract_x
_atom_site_fract_y
_atom_site_fract_z
Ti1 Ti 0.000 0.000 0.000
V1 V 0.228 0.250 0.125
Pb1 Pb 0.000 0.000 0.500
```



The following is a DFT calculation (PBE-GGA) of a relaxed structure of TlC3.

Calculated values
Calculated formation energy = 1622 meV/atom
DFT total energy = -5.8878 eV per atom

Structure (CIF):
```
data_TlC3
_chemical_formula_sum 'Tl1 C3'
_space_group_name_H-M_alt 'P 1 2/m 1'
_space_group_IT_number 10
_cell_length_a 3.440
_cell_length_b 2.570
_cell_length_c 6.281
_cell_angle_alpha 90.00
_cell_angle_beta 102.84
_cell_angle_gamma 90.00
loop_
_space_group_symop_operation_xyz
'x,y,z'
'-x,-y,-z'
'-x,y,-z'
'x,-y,z'
loop_
_atom_site_label
_atom_site_type_symbol
_atom_site_fract_x
_atom_site_fract_y
_atom_site_fract_z
Tl1 Tl 0.000 0.000 0.000
C1 C 0.000 0.000 0.500
C2 C 0.301 0.500 0.497
```



The following is a DFT calculation (PBE-GGA) of a relaxed structure of ZrVRh.

Calculated values
Calculated formation energy = 363 meV/atom
DFT total energy = -7.9762 eV per atom

Structure (CIF):
```
data_ZrVRh
_chemical_formula_sum 'Zr2 V2 Rh2'
_space_group_name_H-M_alt 'I 4 m m'
_space_group_IT_number 107
_space_group_name_Hall 'I 4 -2'
_cell_length_a 2.875
_cell_length_b 2.875
_cell_length_c 13.590
_cell_angle_alpha 90.00
_cell_angle_beta 90.00
_cell_angle_gamma 90.00
loop_
_atom_site_label
_atom_site_type_symbol
_atom_site_fract_x
_atom_site_fract_y
_atom_site_fract_z
Zr1 Zr 0.000 0.000 0.000
V1 V 0.000 0.000 0.198
Rh1 Rh 0.000 0.000 0.806
```